(1)
VASP calculation (GGA-PBE) on an optimized crystal structure of Cs6ZrS4.

Computed properties:
SG	No. 186
uncorrected formation energy	-1081	meV/atom
volume	981	Å³/cell
total moment	0.44	μB/f.u.

CIF file:
```
data_Cs6ZrS4
_cell_length_a 8.590
_cell_length_b 11.483
_cell_length_c 11.483
_cell_angle_alpha 120.00
_cell_angle_beta 90.00
_cell_angle_gamma 90.00
_space_group_name_H-M_alt 'P 1'
_space_group_IT_number 1
_space_group_name_Hall 'P 1'
loop_
_atom_site_label
_atom_site_fract_x
_atom_site_fract_y
_atom_site_fract_z
S1 0.332 0.436 0.218
S2 0.946 0.667 0.333
S3 0.832 0.218 0.782
S4 0.832 0.564 0.782
S5 0.446 0.333 0.667
S6 0.332 0.782 0.564
S7 0.832 0.218 0.436
S8 0.332 0.782 0.218
Cs1 0.640 0.537 0.463
Cs2 0.140 0.463 0.537
Cs3 0.466 0.134 0.268
Cs4 0.466 0.134 0.866
Cs5 0.966 0.866 0.134
Cs6 0.466 0.732 0.866
Cs7 0.966 0.866 0.732
Cs8 0.640 0.927 0.463
Cs9 0.140 0.073 0.537
Cs10 0.140 0.463 0.927
Cs11 0.640 0.537 0.073
Cs12 0.966 0.268 0.134
Zr1 0.233 0.667 0.333
Zr2 0.733 0.333 0.667
```



(2)
VASP calculation (GGA-PBE) on an optimized crystal structure of CsZr4S8.

Computed properties:
SG	No. 166
uncorrected formation energy	-1601	meV/atom
volume	407	Å³/cell
total moment	0.00	μB/f.u.

CIF file:
```
data_CsZr4S8
_cell_length_a 7.336
_cell_length_b 7.336
_cell_length_c 9.714
_cell_angle_alpha 67.82
_cell_angle_beta 67.82
_cell_angle_gamma 60.00
_space_group_name_H-M_alt 'P 1'
_space_group_IT_number 1
_space_group_name_Hall 'P 1'
loop_
_atom_site_label
_atom_site_fract_x
_atom_site_fract_y
_atom_site_fract_z
S1 0.277 0.277 0.170
S2 0.777 0.777 0.171
S3 0.777 0.275 0.171
S4 0.275 0.777 0.171
S5 0.725 0.223 0.829
S6 0.223 0.725 0.829
S7 0.723 0.723 0.830
S8 0.223 0.223 0.829
Zr1 0.000 0.000 0.000
Zr2 0.500 0.500 0.000
Zr3 0.000 0.500 0.000
Zr4 0.500 0.000 0.000
Cs1 0.500 0.500 0.500
```



(3)
VASP calculation (GGA-PBE) on an optimized crystal structure of CsZrS3.

Computed properties:
SG	No. 14
uncorrected formation energy	-1188	meV/atom
volume	806	Å³/cell
total moment	0.00	μB/f.u.

CIF file:
```
data_CsZrS3
_cell_length_a 8.746
_cell_length_b 10.349
_cell_length_c 9.816
_cell_angle_alpha 90.00
_cell_angle_beta 90.00
_cell_angle_gamma 114.91
_space_group_name_H-M_alt 'P 1'
_space_group_IT_number 1
_space_group_name_Hall 'P 1'
loop_
_atom_site_label
_atom_site_fract_x
_atom_site_fract_y
_atom_site_fract_z
S1 0.223 0.947 0.971
S2 0.858 0.713 0.748
S3 0.642 0.287 0.248
S4 0.358 0.713 0.752
S5 0.777 0.053 0.029
S6 0.539 0.580 0.423
S7 0.142 0.287 0.252
S8 0.461 0.420 0.577
S9 0.277 0.053 0.471
S10 0.961 0.420 0.923
S11 0.039 0.580 0.077
S12 0.723 0.947 0.529
Zr1 0.113 0.726 0.864
Zr2 0.613 0.726 0.636
Zr3 0.887 0.274 0.136
Zr4 0.387 0.274 0.364
Cs1 0.940 0.880 0.251
Cs2 0.560 0.120 0.751
Cs3 0.060 0.120 0.749
Cs4 0.440 0.880 0.249
```



(4)
VASP calculation (GGA-PBE) on an optimized crystal structure of CsZrS4.

Computed properties:
SG	No. 15
uncorrected formation energy	-997	meV/atom
volume	401	Å³/cell
total moment	0.00	μB/f.u.

CIF file:
```
data_CsZrS4
_cell_length_a 6.657
_cell_length_b 9.156
_cell_length_c 8.551
_cell_angle_alpha 120.31
_cell_angle_beta 110.31
_cell_angle_gamma 94.52
_space_group_name_H-M_alt 'P 1'
_space_group_IT_number 1
_space_group_name_Hall 'P 1'
loop_
_atom_site_label
_atom_site_fract_x
_atom_site_fract_y
_atom_site_fract_z
Zr1 0.748 0.998 0.996
Zr2 0.252 0.002 0.004
Cs1 0.400 0.650 0.299
Cs2 0.600 0.350 0.701
S1 0.451 0.754 0.959
S2 0.380 0.011 0.747
S3 0.549 0.246 0.041
S4 0.007 0.204 0.959
S5 0.620 0.989 0.253
S6 0.867 0.736 0.747
S7 0.133 0.264 0.253
S8 0.993 0.796 0.041
```



(5)
VASP calculation (GGA-PBE) on an optimized crystal structure of CsZrS3.

Computed properties:
SG	No. 221
uncorrected formation energy	1237	meV/atom
volume	153	Å³/cell
total moment	1.37	μB/f.u.

CIF file:
```
data_CsZrS3
_cell_length_a 5.348
_cell_length_b 5.348
_cell_length_c 5.348
_cell_angle_alpha 90.00
_cell_angle_beta 90.00
_cell_angle_gamma 90.00
_space_group_name_H-M_alt 'P 1'
_space_group_IT_number 1
_space_group_name_Hall 'P 1'
loop_
_atom_site_label
_atom_site_fract_x
_atom_site_fract_y
_atom_site_fract_z
S1 0.500 0.000 0.000
S2 0.000 0.500 0.000
S3 0.000 0.000 0.500
Cs1 0.000 0.000 0.000
Zr1 0.500 0.500 0.500
```



(6)
VASP calculation (GGA-PBE) on an optimized crystal structure of CsZrS3.

Computed properties:
SG	No. 221
uncorrected formation energy	-1180	meV/atom
volume	134	Å³/cell
total moment	0.00	μB/f.u.

CIF file:
```
data_CsZrS3
_cell_length_a 5.119
_cell_length_b 5.119
_cell_length_c 5.119
_cell_angle_alpha 90.00
_cell_angle_beta 90.00
_cell_angle_gamma 90.00
_space_group_name_H-M_alt 'P 1'
_space_group_IT_number 1
_space_group_name_Hall 'P 1'
loop_
_atom_site_label
_atom_site_fract_x
_atom_site_fract_y
_atom_site_fract_z
S1 0.000 0.500 0.000
S2 0.500 0.000 0.000
S3 0.000 0.000 0.500
Zr1 0.000 0.000 0.000
Cs1 0.500 0.500 0.500
```



Question: The lowest uncorrected formation energy belongs to which entry?
Answer: CsZr4S8